1.
GGA-PBE Cs2CaAs2O6, optimized geometry; formation energy from raw total energies = -1824 meV/atom; DOS(E_F) = 0.0 states/eV/cell
1.0
3.137 1.811 6.177
-3.137 1.811 6.177
0.000 -3.622 6.177
Cs Ca As O
2 1 2 6
Direct
0.227 0.227 0.227
0.773 0.773 0.773
0.000 0.000 0.000
0.432 0.432 0.432
0.568 0.568 0.568
0.255 0.255 0.710
0.255 0.710 0.255
0.290 0.745 0.745
0.710 0.255 0.255
0.745 0.290 0.745
0.745 0.745 0.290

=====

2.
GGA-PBE NpMnGe2Ir, optimized geometry; DOS(E_F) = 19.7 states/eV/cell
1.0
4.022 0.000 0.000
0.000 4.022 0.000
0.000 0.000 10.875
Np Mn Ge Ir
2 2 4 2
Direct
0.000 0.000 0.000
0.500 0.500 0.500
0.000 0.500 0.250
0.500 0.000 0.750
0.000 0.000 0.385
0.000 0.000 0.615
0.500 0.500 0.115
0.500 0.500 0.885
0.000 0.500 0.750
0.500 0.000 0.250

=====

3.
GGA-PBE Tb5Dy6Sc, optimized geometry; DOS(E_F) = 16.3 states/eV/cell
1.0
-2.492 4.983 7.496
2.492 -4.983 7.496
2.492 4.983 -7.496
Tb Dy Sc
5 6 1
Direct
0.000 0.000 0.000
0.166 0.666 0.500
0.335 0.335 0.000
0.665 0.665 0.000
0.834 0.334 0.500
0.086 0.834 0.252
0.254 0.500 0.754
0.418 0.166 0.252
0.582 0.834 0.748
0.746 0.500 0.246
0.914 0.166 0.748
0.500 0.000 0.500

=====

4.
GGA-PBE Sr2ScTa, optimized geometry; DOS(E_F) = 5.2 states/eV/cell; excess energy over the best structure of this formula in the dataset = 6 meV per atom
1.0
3.350 0.000 0.000
0.000 3.350 0.000
0.000 0.000 11.219
Sr Sc Ta
2 1 1
Direct
0.000 0.000 0.000
0.500 0.500 0.323
0.500 0.500 0.722
0.000 0.000 0.559

=====

5.
GGA-PBE LiLaPuTl, optimized geometry; DOS(E_F) = 47.7 states/eV/cell
1.0
7.719 0.000 0.000
0.000 7.719 0.000
0.000 0.000 7.719
Li La Pu Tl
4 4 4 4
Direct
0.000 0.000 0.000
0.000 0.500 0.500
0.500 0.000 0.500
0.500 0.500 0.000
0.250 0.250 0.250
0.250 0.750 0.750
0.750 0.250 0.750
0.750 0.750 0.250
0.250 0.250 0.750
0.250 0.750 0.250
0.750 0.250 0.250
0.750 0.750 0.750
0.000 0.000 0.500
0.000 0.500 0.000
0.500 0.000 0.000
0.500 0.500 0.500

=====

6.
GGA-PBE KCdIn2Se4, optimized geometry; formation energy from raw total energies = -621 meV/atom; DOS(E_F) = 5.5 states/eV/cell
1.0
6.590 0.000 0.000
0.000 6.590 0.000
0.000 0.000 12.631
K Cd In Se
2 2 4 8
Direct
0.000 0.000 0.000
0.500 0.500 0.500
0.000 0.000 0.500
0.500 0.500 0.000
0.000 0.500 0.250
0.000 0.500 0.750
0.500 0.000 0.250
0.500 0.000 0.750
0.221 0.221 0.361
0.221 0.779 0.639
0.279 0.279 0.861
0.279 0.721 0.139
0.721 0.279 0.139
0.721 0.721 0.861
0.779 0.221 0.639
0.779 0.779 0.361

=====

7.
GGA-PBE Ta6CrFe5, optimized geometry; DOS(E_F) = 9.6 states/eV/cell
1.0
2.170 -6.501 0.000
2.170 6.501 0.000
0.000 0.000 6.130
Ta Cr Fe
6 1 5
Direct
0.000 0.000 0.250
0.000 0.000 0.750
0.334 0.666 0.250
0.334 0.666 0.750
0.666 0.334 0.250
0.666 0.334 0.750
0.500 0.500 0.000
0.167 0.833 0.500
0.168 0.832 0.000
0.500 0.500 0.500
0.832 0.168 0.000
0.833 0.167 0.500

=====

8.
GGA-PBE Rb2LiCd2, optimized geometry; DOS(E_F) = 6.7 states/eV/cell; excess energy over the best structure of this formula in the dataset = 0 meV per atom
1.0
8.233 0.000 0.000
0.000 8.233 0.000
0.000 0.000 5.953
Rb Li Cd
4 2 4
Direct
0.177 0.323 0.000
0.323 0.823 0.000
0.677 0.177 0.000
0.823 0.677 0.000
0.000 0.000 0.500
0.500 0.500 0.500
0.132 0.632 0.500
0.368 0.132 0.500
0.632 0.868 0.500
0.868 0.368 0.500

=====

9.
GGA-PBE MnBe2W, optimized geometry; DOS(E_F) = 1.4 states/eV/cell; excess energy over the best structure of this formula in the dataset = 108 meV per atom
1.0
2.629 0.000 0.000
0.000 2.629 0.000
0.000 0.000 6.444
Mn Be W
1 2 1
Direct
0.000 0.000 0.000
0.000 0.000 0.598
0.500 0.500 0.778
0.500 0.500 0.321

=====

Ordered total energy results: -5.71 -8.34 -4.73 -4.84 -5.86 -3.30 -10.40 -1.10 -7.33; unit eV per atom.